Record 1
# LiGeTe2 PBE relaxed
data_LiGeTe2
_cell_length_a 4.0476
_cell_length_b 4.0476
_cell_length_c 21.9226
_cell_angle_alpha 90.00
_cell_angle_beta 90.00
_cell_angle_gamma 120.00
_space_group_name_H-M_alt 'R 3 m'
_space_group_IT_number 160
_space_group_name_Hall 'R 3 -2"'
loop_
_atom_site_label
_atom_site_fract_x
_atom_site_fract_y
_atom_site_fract_z
Li1 0.0000 0.0000 0.0000
Ge1 0.0000 0.0000 0.1672
Te1 0.0000 0.0000 0.5808
Te2 0.0000 0.0000 0.7541
# Energy relative to the elements, uncorrected = -0.331 eV per atom

---

Record 2
# MnAl5 PBE relaxed
data_MnAl5
_cell_length_a 10.0866
_cell_length_b 2.8459
_cell_length_c 6.5941
_cell_angle_alpha 90.00
_cell_angle_beta 107.61
_cell_angle_gamma 90.00
_space_group_name_H-M_alt 'C 1 m 1'
_space_group_IT_number 8
loop_
_space_group_symop_operation_xyz
'x,y,z'
'x,-y,z'
'x+1/2,y+1/2,z'
'x+1/2,-y+1/2,z'
loop_
_atom_site_label
_atom_site_fract_x
_atom_site_fract_y
_atom_site_fract_z
Mn1 0.0000 0.0000 0.0000
Al1 0.0537 0.0000 0.6126
Al2 0.1717 0.5000 0.3309
Al3 0.2116 0.5000 0.9497
Al4 0.3401 0.0000 0.6926
Al5 0.3993 0.0000 0.2621
# Formation enthalpy at 0 K = -70 meV/atom

---

Number 1: DOS(E_F) 7.95 states/eV/cell, magnetic moment 0.00 μB per formula unit, calculated density 5.36 Mg/m³. Number 2: DOS(E_F) 5.04 states/eV/cell, magnetic moment 1.73 μB per formula unit, calculated density 3.49 Mg/m³.